No. 1
Entry from the Alexandria database: a relaxed LiSmInGa crystal (PBE).

The space group is F-43m (No. 216) and the conventional cell measures 7.1459, 7.1459 and 7.1459 Å, with angles of 90.00, 90.00 and 90.00 degrees. The inequivalent atoms are Li at (0.0000, 0.0000, 0.0000), Sm at (0.0000, 0.0000, 0.5000), In at (0.2500, 0.2500, 0.7500) and Ga at (0.2500, 0.2500, 0.2500).

No. 2
Entry from the Alexandria database: a relaxed Ca2Si7Rh12 crystal (PBE).

The space group is P-3 (No. 147) and the conventional cell measures 9.7558, 9.7558 and 3.8578 Å, with angles of 90.00, 90.00 and 120.00 degrees. The inequivalent atoms are Ca at (0.3333, 0.6667, 0.2484), Si at (0.0000, 0.0000, 0.0000), Si at (0.1082, 0.3989, 0.7495), Rh at (0.0624, 0.6197, 0.7486) and Rh at (0.1185, 0.8588, 0.2460).

The formation energy without anion corrections is -0.87 eV/atom.

Total energy values (in eV per atom) by entry order: -3.501; -7.071.
Density values (in g cm⁻³) by entry order: 6.22; 7.89.